# Rb2MgAgAs2 | Alexandria | PBE-GGA | relaxed
# Formation energy = -0.385 eV per atom
# Spin magnetization = 0.0 μB per formula unit
# Crystal system = orthorhombic
# Fermi-level density of states = 19.9 states/eV/cell
# E_tot = -2.998 eV per atom
data_Rb2MgAgAs2
_chemical_formula_sum 'Rb8 Mg4 Ag4 As8'
_cell_length_a 6.5228
_cell_length_b 16.4834
_cell_length_c 6.5786
_cell_angle_alpha 90.00
_cell_angle_beta 90.00
_cell_angle_gamma 90.00
_space_group_name_H-M_alt 'I b a m'
_space_group_IT_number 72
_space_group_name_Hall '-I 2 2c'
loop_
_atom_site_label
_atom_site_type_symbol
_atom_site_fract_x
_atom_site_fract_y
_atom_site_fract_z
Rb1 Rb 0.2355 0.1727 0.0000
Mg1 Mg 0.0000 0.5000 0.2500
Ag1 Ag 0.0000 0.0000 0.2500
As1 As 0.2436 0.4098 0.0000

=====

# Mg2AgAsRu | Alexandria | PBE-GGA | relaxed
# Formation energy = 0.790 eV per atom
# Spin magnetization = 1.5 μB per formula unit
# Crystal system = tetragonal
# Fermi-level density of states = 2.1 states/eV/cell
# E_tot = -3.203 eV per atom
data_Mg2AgAsRu
_chemical_formula_sum 'Mg2 Ag1 As1 Ru1'
_cell_length_a 4.8867
_cell_length_b 4.8867
_cell_length_c 5.0022
_cell_angle_alpha 90.00
_cell_angle_beta 90.00
_cell_angle_gamma 90.00
_space_group_name_H-M_alt 'P 4/m m m'
_space_group_IT_number 123
_space_group_name_Hall '-P 4 2'
loop_
_atom_site_label
_atom_site_type_symbol
_atom_site_fract_x
_atom_site_fract_y
_atom_site_fract_z
Mg1 Mg 0.0000 0.5000 0.0000
Ag1 Ag 0.0000 0.0000 0.5000
As1 As 0.5000 0.5000 0.5000
Ru1 Ru 0.0000 0.0000 0.0000

=====

# MgAgAsS4 | Alexandria | PBE-GGA | relaxed
# Spin magnetization = 0.0 μB per formula unit
# Crystal system = orthorhombic
# Fermi-level density of states = 7.9 states/eV/cell
# Raw formation energy = -0.294 eV/atom
# E_tot = -3.952 eV per atom
data_MgAgAsS4
_chemical_formula_sum 'Mg4 Ag4 As4 S16'
_cell_length_a 7.1549
_cell_length_b 7.9645
_cell_length_c 10.5826
_cell_angle_alpha 90.00
_cell_angle_beta 90.00
_cell_angle_gamma 90.00
_space_group_name_H-M_alt 'I m m a'
_space_group_IT_number 74
_space_group_name_Hall '-I 2b 2'
loop_
_atom_site_label
_atom_site_type_symbol
_atom_site_fract_x
_atom_site_fract_y
_atom_site_fract_z
Mg1 Mg 0.0000 0.0000 0.0000
Ag1 Ag 0.2500 0.2500 0.2500
As1 As 0.0000 0.2500 0.6547
S1 S 0.0000 0.0383 0.2393
S2 S 0.2488 0.2500 0.9750

=====

# MgSc2AgAs | Alexandria | PBE-GGA | relaxed
# Formation energy = 0.389 eV per atom
# Spin magnetization = 0.0 μB per formula unit
# Crystal system = tetragonal
# Fermi-level density of states = 5.8 states/eV/cell
# E_tot = -3.962 eV per atom
data_MgSc2AgAs
_chemical_formula_sum 'Mg1 Sc2 Ag1 As1'
_cell_length_a 5.1990
_cell_length_b 5.1990
_cell_length_c 4.9615
_cell_angle_alpha 90.00
_cell_angle_beta 90.00
_cell_angle_gamma 90.00
_space_group_name_H-M_alt 'P 4/m m m'
_space_group_IT_number 123
_space_group_name_Hall '-P 4 2'
loop_
_atom_site_label
_atom_site_type_symbol
_atom_site_fract_x
_atom_site_fract_y
_atom_site_fract_z
Mg1 Mg 0.0000 0.0000 0.0000
Sc1 Sc 0.0000 0.5000 0.5000
Ag1 Ag 0.5000 0.5000 0.5000
As1 As 0.5000 0.5000 0.0000

=====

# Mg2AgSnAs | Alexandria | PBE-GGA | relaxed
# Formation energy = 0.518 eV per atom
# Spin magnetization = 1.4 μB per formula unit
# Crystal system = tetragonal
# Fermi-level density of states = 3.5 states/eV/cell
# E_tot = -2.420 eV per atom
data_Mg2AgSnAs
_chemical_formula_sum 'Mg2 Ag1 Sn1 As1'
_cell_length_a 5.2963
_cell_length_b 5.2963
_cell_length_c 5.2068
_cell_angle_alpha 90.00
_cell_angle_beta 90.00
_cell_angle_gamma 90.00
_space_group_name_H-M_alt 'P 4/m m m'
_space_group_IT_number 123
_space_group_name_Hall '-P 4 2'
loop_
_atom_site_label
_atom_site_type_symbol
_atom_site_fract_x
_atom_site_fract_y
_atom_site_fract_z
Mg1 Mg 0.0000 0.5000 0.0000
Ag1 Ag 0.0000 0.0000 0.5000
Sn1 Sn 0.0000 0.0000 0.0000
As1 As 0.5000 0.5000 0.5000

=====

# Sr2MgAg3As4 | Alexandria | PBE-GGA | relaxed
# Formation energy = -0.552 eV per atom
# Spin magnetization = 0.0 μB per formula unit
# Crystal system = tetragonal
# Fermi-level density of states = 2.0 states/eV/cell
# E_tot = -3.763 eV per atom
data_Sr2MgAg3As4
_chemical_formula_sum 'Sr2 Mg1 Ag3 As4'
_cell_length_a 4.5236
_cell_length_b 4.5236
_cell_length_c 11.2817
_cell_angle_alpha 90.00
_cell_angle_beta 90.00
_cell_angle_gamma 90.00
_space_group_name_H-M_alt 'P -4 m 2'
_space_group_IT_number 115
_space_group_name_Hall 'P -4 -2'
loop_
_atom_site_label
_atom_site_type_symbol
_atom_site_fract_x
_atom_site_fract_y
_atom_site_fract_z
Sr1 Sr 0.0000 0.5000 0.2376
Mg1 Mg 0.0000 0.0000 0.5000
Ag1 Ag 0.0000 0.5000 0.8683
Ag2 Ag 0.5000 0.5000 0.5000
As1 As 0.0000 0.0000 0.0000
As2 As 0.0000 0.5000 0.6389
As3 As 0.5000 0.5000 0.0000

=====

# MnAg2As | Alexandria | PBE-GGA | relaxed
# Formation energy = 0.210 eV per atom
# Spin magnetization = 4.2 μB per formula unit
# Crystal system = tetragonal
# Fermi-level density of states = 1.8 states/eV/cell
# E_tot = -4.670 eV per atom
data_MnAg2As
_chemical_formula_sum 'Mn1 Ag2 As1'
_cell_length_a 3.5980
_cell_length_b 3.5980
_cell_length_c 5.5099
_cell_angle_alpha 90.00
_cell_angle_beta 90.00
_cell_angle_gamma 90.00
_space_group_name_H-M_alt 'P 4/m m m'
_space_group_IT_number 123
_space_group_name_Hall '-P 4 2'
loop_
_atom_site_label
_atom_site_type_symbol
_atom_site_fract_x
_atom_site_fract_y
_atom_site_fract_z
Mn1 Mn 0.0000 0.0000 0.0000
Ag1 Ag 0.5000 0.5000 0.2459
As1 As 0.0000 0.0000 0.5000

=====

# MnAg2As | Alexandria | PBE-GGA | relaxed
# Formation energy = 0.185 eV per atom
# Spin magnetization = 4.0 μB per formula unit
# Crystal system = monoclinic
# Fermi-level density of states = 1.3 states/eV/cell
# E_tot = -4.695 eV per atom
data_MnAg2As
_chemical_formula_sum 'Mn1 Ag2 As1'
_cell_length_a 2.9741
_cell_length_b 4.9682
_cell_length_c 4.7594
_cell_angle_alpha 90.00
_cell_angle_beta 91.41
_cell_angle_gamma 90.00
_space_group_name_H-M_alt 'P 1 2/m 1'
_space_group_IT_number 10
_space_group_name_Hall '-P 2y'
loop_
_atom_site_label
_atom_site_type_symbol
_atom_site_fract_x
_atom_site_fract_y
_atom_site_fract_z
Mn1 Mn 0.0000 0.0000 0.0000
Ag1 Ag 0.2625 0.5000 0.7537
As1 As 0.5000 0.0000 0.5000